Record 1
A plane-wave DFT calculation with GGA-PBE was carried out for crystalline LiMo2W at its relaxed geometry.

Geometry as POSCAR:
```
LiMo2W
1.0
5.3071 0.0007 0.0024
-2.4129 4.6358 0.0025
0.4814 0.7243 2.4921
Mo Li W
2 1 1
direct
0.0000 0.0000 0.0000 Mo
0.5000 0.0000 0.5000 Mo
0.5000 0.5000 0.0000 Li
0.0000 0.5000 0.5000 W
```

Computed properties:
Volume ... 61 Å³/cell
Symmetry ... C2/m, No. 12
Energy relative to the lowest polymorph listed for this composition ... 0.067 eV per atom



Record 2
A plane-wave DFT calculation with GGA-PBE was carried out for crystalline LiMo2W at its relaxed geometry.

Geometry as POSCAR:
```
LiMo2W
1.0
-1.9459 -0.7265 1.7255
2.3709 -0.7573 1.0473
0.7224 8.1120 4.2301
W Mo Li
1 2 1
direct
0.5000 0.5000 0.2500 W
0.0000 0.0000 0.4934 Mo
0.0000 0.0000 0.0066 Mo
0.5000 0.5000 0.7500 Li
```

Computed properties:
Volume ... 64 Å³/cell
Symmetry ... Cmmm, No. 65
Energy relative to the lowest polymorph listed for this composition ... 0.000 eV per atom